Density functional theory data (PBE-GGA) for a geometry-optimized Zn2MoAs structure.

Geometry as CIF:
```
data_Zn2MoAs
_chemical_formula_sum 'Zn2 Mo1 As1'
_cell_length_a 5.242
_cell_length_b 5.242
_cell_length_c 5.242
_cell_angle_alpha 139.05
_cell_angle_beta 139.05
_cell_angle_gamma 59.29
_symmetry_space_group_name_H-M 'P 1'
_symmetry_Int_Tables_number 1
loop_
_symmetry_equiv_pos_as_xyz
'x,y,z'
loop_
_atom_site_label
_atom_site_type_symbol
_atom_site_fract_x
_atom_site_fract_y
_atom_site_fract_z
Zn1 Zn 0.250 0.750 0.500
Zn2 Zn 0.750 0.250 0.500
Mo1 Mo 0.000 0.000 0.000
As1 As 0.500 0.500 0.000
```

Its crystal system is tetragonal. The total magnetization is 0.000 μB per cell. The value obtained for the volume is 61.3 Å³ per cell. The formation energy is 0.118 eV/atom. The uncorrected energy comes out at -4.39 eV per atom.

---

Density functional theory data (PBE-GGA) for a geometry-optimized Tl2GePbI6 structure.

Geometry as CIF:
```
data_Tl2GePbI6
_chemical_formula_sum 'Tl2 Ge1 Pb1 I6'
_cell_length_a 8.746
_cell_length_b 8.746
_cell_length_c 8.746
_cell_angle_alpha 57.46
_cell_angle_beta 57.46
_cell_angle_gamma 57.46
_symmetry_space_group_name_H-M 'P 1'
_symmetry_Int_Tables_number 1
loop_
_symmetry_equiv_pos_as_xyz
'x,y,z'
loop_
_atom_site_label
_atom_site_type_symbol
_atom_site_fract_x
_atom_site_fract_y
_atom_site_fract_z
Tl1 Tl 0.000 0.000 0.000
Tl2 Tl 0.499 0.499 0.499
Ge1 Ge 0.207 0.207 0.207
Pb1 Pb 0.706 0.706 0.706
I1 I 0.057 0.859 0.433
I2 I 0.343 0.536 0.954
I3 I 0.433 0.057 0.859
I4 I 0.536 0.954 0.343
I5 I 0.859 0.433 0.057
I6 I 0.954 0.343 0.536
```

Its crystal system is trigonal. The total magnetization is 0.000 μB per cell. The value obtained for the volume is 445.4 Å³ per cell. For the uncorrected formation energy, the calculation gives -0.525 eV per atom. The uncorrected energy comes out at -2.76 eV per atom.

---

Density functional theory data (PBE-GGA) for a geometry-optimized Y2NbPt2 structure.

Geometry as CIF:
```
data_Y2NbPt2
_chemical_formula_sum 'Y4 Nb2 Pt4'
_cell_length_a 7.001
_cell_length_b 7.001
_cell_length_c 4.474
_cell_angle_alpha 90.00
_cell_angle_beta 90.00
_cell_angle_gamma 90.00
_symmetry_space_group_name_H-M 'P 1'
_symmetry_Int_Tables_number 1
loop_
_symmetry_equiv_pos_as_xyz
'x,y,z'
loop_
_atom_site_label
_atom_site_type_symbol
_atom_site_fract_x
_atom_site_fract_y
_atom_site_fract_z
Y1 Y 0.172 0.328 0.000
Y2 Y 0.328 0.828 0.000
Y3 Y 0.672 0.172 0.000
Y4 Y 0.828 0.672 0.000
Nb1 Nb 0.000 0.000 0.500
Nb2 Nb 0.500 0.500 0.500
Pt1 Pt 0.140 0.640 0.500
Pt2 Pt 0.360 0.140 0.500
Pt3 Pt 0.640 0.860 0.500
Pt4 Pt 0.860 0.360 0.500
```

Its crystal system is tetragonal. The total magnetization is 0.000 μB per cell. The value obtained for the volume is 219.3 Å³ per cell. The formation energy is -0.777 eV/atom. The uncorrected energy comes out at -7.79 eV per atom.

---

Density functional theory data (PBE-GGA) for a geometry-optimized K2AlMo structure.

Geometry as CIF:
```
data_K2AlMo
_chemical_formula_sum 'K2 Al1 Mo1'
_cell_length_a 3.661
_cell_length_b 3.661
_cell_length_c 10.287
_cell_angle_alpha 90.00
_cell_angle_beta 90.00
_cell_angle_gamma 90.00
_symmetry_space_group_name_H-M 'P 1'
_symmetry_Int_Tables_number 1
loop_
_symmetry_equiv_pos_as_xyz
'x,y,z'
loop_
_atom_site_label
_atom_site_type_symbol
_atom_site_fract_x
_atom_site_fract_y
_atom_site_fract_z
K1 K 0.000 0.000 0.000
K2 K 0.500 0.500 0.401
Al1 Al 0.500 0.500 0.719
Mo1 Mo 0.000 0.000 0.683
```

Its crystal system is tetragonal. The total magnetization is 2.169 μB per cell. The value obtained for the volume is 137.9 Å³ per cell. The formation energy is 0.603 eV/atom. The uncorrected energy comes out at -3.59 eV per atom.

---

Density functional theory data (PBE-GGA) for a geometry-optimized GaBiSeI2 structure.

Geometry as CIF:
```
data_GaBiSeI2
_chemical_formula_sum 'Ga1 Bi1 Se1 I2'
_cell_length_a 5.902
_cell_length_b 5.902
_cell_length_c 5.152
_cell_angle_alpha 90.00
_cell_angle_beta 90.00
_cell_angle_gamma 90.00
_symmetry_space_group_name_H-M 'P 1'
_symmetry_Int_Tables_number 1
loop_
_symmetry_equiv_pos_as_xyz
'x,y,z'
loop_
_atom_site_label
_atom_site_type_symbol
_atom_site_fract_x
_atom_site_fract_y
_atom_site_fract_z
Ga1 Ga 0.000 0.000 0.000
Bi1 Bi 0.500 0.500 0.000
Se1 Se 0.000 0.000 0.500
I1 I 0.000 0.500 0.500
I2 I 0.500 0.000 0.500
```

Its crystal system is tetragonal. The total magnetization is 0.000 μB per cell. The value obtained for the volume is 179.4 Å³ per cell. For the uncorrected formation energy, the calculation gives 0.406 eV per atom. The uncorrected energy comes out at -2.29 eV per atom.

---

Density functional theory data (PBE-GGA) for a geometry-optimized TmAl2Cl8 structure.

Geometry as CIF:
```
data_TmAl2Cl8
_chemical_formula_sum 'Tm1 Al2 Cl8'
_cell_length_a 8.079
_cell_length_b 8.079
_cell_length_c 6.398
_cell_angle_alpha 96.27
_cell_angle_beta 96.27
_cell_angle_gamma 67.03
_symmetry_space_group_name_H-M 'P 1'
_symmetry_Int_Tables_number 1
loop_
_symmetry_equiv_pos_as_xyz
'x,y,z'
loop_
_atom_site_label
_atom_site_type_symbol
_atom_site_fract_x
_atom_site_fract_y
_atom_site_fract_z
Tm1 Tm 0.000 0.000 0.000
Al1 Al 0.183 0.183 0.640
Al2 Al 0.817 0.817 0.360
Cl1 Cl 0.087 0.718 0.236
Cl2 Cl 0.165 0.165 0.286
Cl3 Cl 0.282 0.913 0.764
Cl4 Cl 0.338 0.338 0.749
Cl5 Cl 0.662 0.662 0.251
Cl6 Cl 0.718 0.087 0.236
Cl7 Cl 0.835 0.835 0.714
Cl8 Cl 0.913 0.282 0.764
```

Its crystal system is monoclinic. The total magnetization is 1.003 μB per cell. The value obtained for the volume is 381.2 Å³ per cell. For the uncorrected formation energy, the calculation gives -1.574 eV per atom. The uncorrected energy comes out at -4.00 eV per atom.

---

Density functional theory data (PBE-GGA) for a geometry-optimized Tb6Er3Tm2Pu structure.

Geometry as CIF:
```
data_Tb6Er3Tm2Pu
_chemical_formula_sum 'Tb6 Er3 Tm2 Pu1'
_cell_length_a 6.101
_cell_length_b 6.101
_cell_length_c 11.625
_cell_angle_alpha 95.02
_cell_angle_beta 95.02
_cell_angle_gamma 119.99
_symmetry_space_group_name_H-M 'P 1'
_symmetry_Int_Tables_number 1
loop_
_symmetry_equiv_pos_as_xyz
'x,y,z'
loop_
_atom_site_label
_atom_site_type_symbol
_atom_site_fract_x
_atom_site_fract_y
_atom_site_fract_z
Tb1 Tb 0.083 0.413 0.748
Tb2 Tb 0.247 0.247 0.252
Tb3 Tb 0.413 0.083 0.748
Tb4 Tb 0.587 0.917 0.252
Tb5 Tb 0.753 0.753 0.748
Tb6 Tb 0.917 0.587 0.252
Er1 Er 0.167 0.833 0.000
Er2 Er 0.500 0.500 0.000
Er3 Er 0.833 0.167 0.000
Tm1 Tm 0.333 0.667 0.500
Tm2 Tm 0.667 0.333 0.500
Pu1 Pu 0.000 0.000 0.500
```

Its crystal system is monoclinic. The total magnetization is 6.676 μB per cell. The value obtained for the volume is 369.0 Å³ per cell. The formation energy is 0.042 eV/atom. The uncorrected energy comes out at -5.35 eV per atom.

---

Density functional theory data (PBE-GGA) for a geometry-optimized DyNiRu structure.

Geometry as CIF:
```
data_DyNiRu
_chemical_formula_sum 'Dy1 Ni1 Ru1'
_cell_length_a 4.114
_cell_length_b 4.114
_cell_length_c 3.789
_cell_angle_alpha 90.00
_cell_angle_beta 90.00
_cell_angle_gamma 120.00
_symmetry_space_group_name_H-M 'P 1'
_symmetry_Int_Tables_number 1
loop_
_symmetry_equiv_pos_as_xyz
'x,y,z'
loop_
_atom_site_label
_atom_site_type_symbol
_atom_site_fract_x
_atom_site_fract_y
_atom_site_fract_z
Dy1 Dy 0.000 0.000 0.000
Ni1 Ni 0.333 0.667 0.500
Ru1 Ru 0.667 0.333 0.500
```

Its crystal system is hexagonal. The total magnetization is 0.918 μB per cell. The value obtained for the volume is 55.5 Å³ per cell. The formation energy is -0.188 eV/atom. The value obtained for the polymorph energy (0 for the lowest one) is 201 meV/atom. The uncorrected energy comes out at -6.74 eV per atom.

---

Density functional theory data (PBE-GGA) for a geometry-optimized TaSi2Te structure.

Geometry as CIF:
```
data_TaSi2Te
_chemical_formula_sum 'Ta1 Si2 Te1'
_cell_length_a 7.491
_cell_length_b 7.491
_cell_length_c 7.491
_cell_angle_alpha 28.43
_cell_angle_beta 28.43
_cell_angle_gamma 28.43
_symmetry_space_group_name_H-M 'P 1'
_symmetry_Int_Tables_number 1
loop_
_symmetry_equiv_pos_as_xyz
'x,y,z'
loop_
_atom_site_label
_atom_site_type_symbol
_atom_site_fract_x
_atom_site_fract_y
_atom_site_fract_z
Ta1 Ta 0.000 0.000 0.000
Si1 Si 0.257 0.257 0.257
Si2 Si 0.546 0.546 0.546
Te1 Te 0.753 0.753 0.753
```

Its crystal system is trigonal. The total magnetization is 0.000 μB per cell. The value obtained for the volume is 84.2 Å³ per cell. For the uncorrected formation energy, the calculation gives 0.106 eV per atom. The uncorrected energy comes out at -6.35 eV per atom.

---

Density functional theory data (PBE-GGA) for a geometry-optimized Na2RuC2 structure.

Geometry as CIF:
```
data_Na2RuC2
_chemical_formula_sum 'Na4 Ru2 C4'
_cell_length_a 7.193
_cell_length_b 7.193
_cell_length_c 2.436
_cell_angle_alpha 90.00
_cell_angle_beta 90.00
_cell_angle_gamma 90.00
_symmetry_space_group_name_H-M 'P 1'
_symmetry_Int_Tables_number 1
loop_
_symmetry_equiv_pos_as_xyz
'x,y,z'
loop_
_atom_site_label
_atom_site_type_symbol
_atom_site_fract_x
_atom_site_fract_y
_atom_site_fract_z
Na1 Na 0.121 0.379 0.000
Na2 Na 0.379 0.879 0.000
Na3 Na 0.621 0.121 0.000
Na4 Na 0.879 0.621 0.000
Ru1 Ru 0.000 0.000 0.000
Ru2 Ru 0.500 0.500 0.000
C1 C 0.177 0.677 0.500
C2 C 0.323 0.177 0.500
C3 C 0.677 0.823 0.500
C4 C 0.823 0.323 0.500
```

Its crystal system is tetragonal. The total magnetization is 0.000 μB per cell. The value obtained for the volume is 126.0 Å³ per cell. The formation energy is 2.155 eV/atom. The uncorrected energy comes out at -3.92 eV per atom.

---

Density functional theory data (PBE-GGA) for a geometry-optimized PtPbSe structure.

Geometry as CIF:
```
data_PtPbSe
_chemical_formula_sum 'Pt1 Pb1 Se1'
_cell_length_a 6.108
_cell_length_b 6.108
_cell_length_c 6.108
_cell_angle_alpha 146.48
_cell_angle_beta 146.48
_cell_angle_gamma 48.13
_symmetry_space_group_name_H-M 'P 1'
_symmetry_Int_Tables_number 1
loop_
_symmetry_equiv_pos_as_xyz
'x,y,z'
loop_
_atom_site_label
_atom_site_type_symbol
_atom_site_fract_x
_atom_site_fract_y
_atom_site_fract_z
Pt1 Pt 0.000 0.000 0.000
Pb1 Pb 0.700 0.700 0.000
Se1 Se 0.428 0.428 0.000
```

Its crystal system is tetragonal. The total magnetization is 0.000 μB per cell. The value obtained for the volume is 69.2 Å³ per cell. For the uncorrected formation energy, the calculation gives -0.046 eV per atom. The uncorrected energy comes out at -4.46 eV per atom.

---

Density functional theory data (PBE-GGA) for a geometry-optimized NbOs3Ru structure.

Geometry as CIF:
```
data_NbOs3Ru
_chemical_formula_sum 'Nb1 Os3 Ru1'
_cell_length_a 4.679
_cell_length_b 4.679
_cell_length_c 4.679
_cell_angle_alpha 90.00
_cell_angle_beta 90.00
_cell_angle_gamma 90.00
_symmetry_space_group_name_H-M 'P 1'
_symmetry_Int_Tables_number 1
loop_
_symmetry_equiv_pos_as_xyz
'x,y,z'
loop_
_atom_site_label
_atom_site_type_symbol
_atom_site_fract_x
_atom_site_fract_y
_atom_site_fract_z
Nb1 Nb 0.000 0.000 0.000
Os1 Os 0.000 0.000 0.500
Os2 Os 0.000 0.500 0.000
Os3 Os 0.500 0.000 0.000
Ru1 Ru 0.500 0.500 0.500
```

Its crystal system is cubic. The total magnetization is 2.005 μB per cell. The value obtained for the volume is 102.4 Å³ per cell. The formation energy is 2.576 eV/atom. The value obtained for the polymorph energy (0 for the lowest one) is 2408 meV/atom. The uncorrected energy comes out at -8.03 eV per atom.

---

Density functional theory data (PBE-GGA) for a geometry-optimized HoErTeP structure.

Geometry as CIF:
```
data_HoErTeP
_chemical_formula_sum 'Ho1 Er1 Te1 P1'
_cell_length_a 7.548
_cell_length_b 7.548
_cell_length_c 7.548
_cell_angle_alpha 31.08
_cell_angle_beta 31.08
_cell_angle_gamma 31.08
_symmetry_space_group_name_H-M 'P 1'
_symmetry_Int_Tables_number 1
loop_
_symmetry_equiv_pos_as_xyz
'x,y,z'
loop_
_atom_site_label
_atom_site_type_symbol
_atom_site_fract_x
_atom_site_fract_y
_atom_site_fract_z
Ho1 Ho 0.000 0.000 0.000
Er1 Er 0.806 0.806 0.806
Te1 Te 0.235 0.235 0.235
P1 P 0.405 0.405 0.405
```

Its crystal system is trigonal. The total magnetization is 0.000 μB per cell. The value obtained for the volume is 101.7 Å³ per cell. For the uncorrected formation energy, the calculation gives -1.506 eV per atom. The uncorrected energy comes out at -5.93 eV per atom.

---

Density functional theory data (PBE-GGA) for a geometry-optimized AcAg2O3 structure.

Geometry as CIF:
```
data_AcAg2O3
_chemical_formula_sum 'Ac2 Ag4 O6'
_cell_length_a 6.796
_cell_length_b 6.796
_cell_length_c 5.126
_cell_angle_alpha 90.00
_cell_angle_beta 90.00
_cell_angle_gamma 119.17
_symmetry_space_group_name_H-M 'P 1'
_symmetry_Int_Tables_number 1
loop_
_symmetry_equiv_pos_as_xyz
'x,y,z'
loop_
_atom_site_label
_atom_site_type_symbol
_atom_site_fract_x
_atom_site_fract_y
_atom_site_fract_z
Ac1 Ac 0.243 0.757 0.750
Ac2 Ac 0.757 0.243 0.250
Ag1 Ag 0.260 0.260 0.000
Ag2 Ag 0.260 0.260 0.500
Ag3 Ag 0.740 0.740 0.000
Ag4 Ag 0.740 0.740 0.500
O1 O 0.072 0.365 0.750
O2 O 0.365 0.072 0.250
O3 O 0.371 0.629 0.250
O4 O 0.629 0.371 0.750
O5 O 0.635 0.928 0.750
O6 O 0.928 0.635 0.250
```

Its crystal system is orthorhombic. The total magnetization is 2.051 μB per cell. The value obtained for the volume is 206.7 Å³ per cell. For the uncorrected formation energy, the calculation gives -1.042 eV per atom. The uncorrected energy comes out at -5.16 eV per atom.

---

Density functional theory data (PBE-GGA) for a geometry-optimized PaZnPdO6 structure.

Geometry as CIF:
```
data_PaZnPdO6
_chemical_formula_sum 'Pa2 Zn2 Pd2 O12'
_cell_length_a 5.398
_cell_length_b 5.398
_cell_length_c 8.928
_cell_angle_alpha 90.00
_cell_angle_beta 90.00
_cell_angle_gamma 120.00
_symmetry_space_group_name_H-M 'P 1'
_symmetry_Int_Tables_number 1
loop_
_symmetry_equiv_pos_as_xyz
'x,y,z'
loop_
_atom_site_label
_atom_site_type_symbol
_atom_site_fract_x
_atom_site_fract_y
_atom_site_fract_z
Pa1 Pa 0.333 0.667 0.250
Pa2 Pa 0.667 0.333 0.750
Zn1 Zn 0.000 0.000 0.000
Zn2 Zn 0.000 0.000 0.500
Pd1 Pd 0.333 0.667 0.750
Pd2 Pd 0.667 0.333 0.250
O1 O 0.020 0.348 0.626
O2 O 0.020 0.671 0.874
O3 O 0.329 0.348 0.874
O4 O 0.329 0.980 0.626
O5 O 0.348 0.020 0.126
O6 O 0.348 0.329 0.374
O7 O 0.652 0.671 0.626
O8 O 0.652 0.980 0.874
O9 O 0.671 0.020 0.374
O10 O 0.671 0.652 0.126
O11 O 0.980 0.329 0.126
O12 O 0.980 0.652 0.374
```

Its crystal system is trigonal. The total magnetization is 0.000 μB per cell. The value obtained for the volume is 225.3 Å³ per cell. For the uncorrected formation energy, the calculation gives -1.631 eV per atom. The uncorrected energy comes out at -6.71 eV per atom.

---

Density functional theory data (PBE-GGA) for a geometry-optimized LaZrIr2 structure.

Geometry as CIF:
```
data_LaZrIr2
_chemical_formula_sum 'La2 Zr2 Ir4'
_cell_length_a 6.125
_cell_length_b 6.125
_cell_length_c 6.125
_cell_angle_alpha 104.84
_cell_angle_beta 104.84
_cell_angle_gamma 119.20
_symmetry_space_group_name_H-M 'P 1'
_symmetry_Int_Tables_number 1
loop_
_symmetry_equiv_pos_as_xyz
'x,y,z'
loop_
_atom_site_label
_atom_site_type_symbol
_atom_site_fract_x
_atom_site_fract_y
_atom_site_fract_z
La1 La 0.000 0.000 0.000
La2 La 0.750 0.250 0.500
Zr1 Zr 0.250 0.750 0.500
Zr2 Zr 0.500 0.500 0.000
Ir1 Ir 0.145 0.125 0.520
Ir2 Ir 0.375 0.855 0.980
Ir3 Ir 0.605 0.625 0.480
Ir4 Ir 0.875 0.395 0.020
```

Its crystal system is tetragonal. The total magnetization is 0.000 μB per cell. The value obtained for the volume is 173.0 Å³ per cell. The formation energy is -0.297 eV/atom. The uncorrected energy comes out at -8.10 eV per atom.